# 1
PBE BH3S, optimized geometry; energy above the lowest structure with this stoichiometry = 0.00 kJ/mol of atoms; size of the total moment = 0.00 μB/cell; symmetry = P1, No. 1
1.0
3.065 0.000 0.000
-0.002 5.007 0.000
-0.004 -0.027 7.844
B H S
2 6 2
direct
0.000 0.000 0.000
0.003 0.503 0.451
0.000 0.818 0.899
0.000 0.938 0.149
0.003 0.321 0.552
0.003 0.439 0.303
0.500 0.388 0.078
0.503 0.890 0.373
0.500 0.219 0.942
0.503 0.722 0.509

***

# 2
PBE BH2S, optimized geometry; energy above the lowest structure with this stoichiometry = 8.84 kJ/mol of atoms; size of the total moment = 0.00 μB/cell; symmetry = Cm, No. 8
1.0
3.689 -1.503 0.000
3.689 1.503 0.000
-2.565 0.000 4.815
B H S
1 2 1
direct
0.000 0.000 0.000
0.069 0.069 0.248
0.793 0.793 0.902
0.526 0.526 0.818

***

# 3
PBE BH2S, optimized geometry; energy above the lowest structure with this stoichiometry = 0.00 kJ/mol of atoms; size of the total moment = 0.00 μB/cell; symmetry = P2_1/m, No. 11
1.0
3.067 0.000 0.000
0.000 4.684 0.000
-1.269 0.000 6.683
B H S
2 4 2
direct
0.091 0.250 0.221
0.909 0.750 0.779
0.130 0.032 0.316
0.130 0.468 0.316
0.870 0.532 0.684
0.870 0.968 0.684
0.483 0.750 0.958
0.517 0.250 0.042

***

# 4
PBE BHS, optimized geometry; energy above the lowest structure with this stoichiometry = 2.40 kJ/mol of atoms; size of the total moment = 0.00 μB/cell; symmetry = P1, No. 1
1.0
2.956 0.000 0.000
0.929 4.557 0.000
0.820 1.296 4.490
B H S
1 1 1
direct
0.000 0.000 0.000
0.006 0.788 0.218
0.495 0.186 0.809

***

# 5
PBE B2H8S, optimized geometry; size of the total moment = 0.00 μB/cell; symmetry = C2/m, No. 12
1.0
3.882 -2.715 0.000
3.882 2.715 0.000
-0.799 0.000 5.587
B H S
2 8 1
direct
0.228 0.228 0.318
0.772 0.772 0.682
0.042 0.694 0.807
0.195 0.195 0.520
0.306 0.958 0.193
0.373 0.373 0.269
0.627 0.627 0.731
0.694 0.042 0.807
0.805 0.805 0.480
0.958 0.306 0.193
0.000 0.000 0.000

***

# 6
PBE BH3S, optimized geometry; energy above the lowest structure with this stoichiometry = 150.10 kJ/mol of atoms; size of the total moment = 0.00 μB/cell; symmetry = Pm-3m, No. 221
1.0
3.419 0.000 0.000
0.000 3.419 0.000
0.000 0.000 3.419
B H S
1 3 1
direct
0.000 0.000 0.000
0.000 0.500 0.500
0.500 0.000 0.500
0.500 0.500 0.000
0.500 0.500 0.500

***

# 7
PBE BHS, optimized geometry; energy above the lowest structure with this stoichiometry = 5.35 kJ/mol of atoms; size of the total moment = 0.00 μB/cell; symmetry = P1, No. 1
1.0
3.063 0.000 0.000
1.530 3.689 0.000
0.313 1.478 8.719
B H S
2 2 2
direct
0.000 0.000 0.000
0.226 0.538 0.051
0.574 0.696 0.548
0.654 0.837 0.502
0.398 0.229 0.885
0.829 0.309 0.167

***

# 8
PBE BH2S, optimized geometry; energy above the lowest structure with this stoichiometry = 155.04 kJ/mol of atoms; size of the total moment = 0.00 μB/cell; symmetry = Fm-3m, No. 225
1.0
0.000 2.381 2.381
2.381 0.000 2.381
2.381 2.381 0.000
B H S
1 2 1
direct
0.000 0.000 0.000
0.250 0.250 0.250
0.750 0.750 0.750
0.500 0.500 0.500

***

DFT total energy values, unit eV per cell, following the record order: -43.8; -17.6; -36.0; -14.9; -41.2; -14.1; -29.5; -11.6.